No. 1
First-principles (PBE) data for NaYAsSe2 after structural relaxation, as listed in Alexandria.

VASP energy ... -3.930 eV/atom
Energy relative to the lowest polymorph listed for this composition ... 46.99 kJ/mol of atoms
Uncorrected formation energy ... -0.250 eV/f.u.

The structure in POSCAR format:
```
NaYAsSe2
1.0
5.0898 0.0000 0.0000
0.0000 5.0898 0.0000
0.0000 0.0000 4.8377
Y Na As Se
1 1 1 2
Cartesian
2.5449 2.5449 2.4189
0.0000 0.0000 0.0000
0.0000 0.0000 2.4189
0.0000 2.5449 0.0000
2.5449 0.0000 0.0000
```

No. 2
First-principles (PBE) data for NaYAsSe2 after structural relaxation, as listed in Alexandria.

VASP energy ... -4.417 eV/atom
Energy relative to the lowest polymorph listed for this composition ... 0.00 kJ/mol of atoms
Uncorrected formation energy ... -2.685 eV/f.u.

The structure in POSCAR format:
```
NaYAsSe2
1.0
-0.7103 -4.2688 -3.4209
0.2584 -3.4719 4.2789
-5.4843 0.3922 0.6494
Y Na As Se
1 1 1 2
Cartesian
0.0000 0.0000 0.0000
-2.9681 -3.6743 0.7537
-2.7421 0.1961 0.3247
0.1292 -1.7360 2.1394
-0.3551 -2.1344 -1.7104
```

No. 3
First-principles (PBE) data for NaZnAsSe3 after structural relaxation, as listed in Alexandria.

VASP energy ... -3.505 eV/atom
Uncorrected formation energy ... -3.334 eV/f.u.

The structure in POSCAR format:
```
NaZnAsSe3
1.0
-2.6819 2.8660 -0.4833
-4.4315 -2.9724 6.9654
5.7075 5.9935 3.8699
Na Zn As Se
2 2 2 6
Cartesian
-0.2040 1.5328 2.1309
-1.2020 4.3544 8.2212
2.3745 4.0666 2.8479
-3.7805 1.8206 7.5041
-2.8925 -0.5103 4.9346
1.4865 6.3975 5.4175
-5.1647 0.2927 6.1251
3.7587 5.5944 4.2269
-1.3369 1.3548 7.3628
-0.0690 4.5323 2.9892
-3.0800 1.7537 3.2201
1.6741 4.1335 7.1319
```

No. 4
First-principles (PBE) data for Na2ZnAsSe4 after structural relaxation, as listed in Alexandria.

VASP energy ... -3.382 eV/atom
Uncorrected formation energy ... -4.555 eV/f.u.

The structure in POSCAR format:
```
Na2ZnAsSe4
1.0
-0.5879 -3.2382 -5.9471
3.9868 -4.9787 2.3375
-5.6615 1.7297 3.4928
Na Zn As Se
2 1 1 4
Cartesian
-1.8509 -4.7973 2.8066
-1.8653 -1.1190 0.7947
-4.1448 -3.9312 -1.3325
-0.1696 -5.2306 -1.0087
-2.0801 -4.0028 0.0270
-0.0532 -4.4246 -3.3703
1.7975 -4.7861 0.4652
-3.7511 0.5014 2.4574
```

> Which of these has the lowest VASP energy?

number 2

> The lowest VASP energy belongs to which entry?

number 2

> The highest VASP energy belongs to which entry?

Na2ZnAsSe4